# 1
The following is a DFT calculation (GGA-PBE) of a geometry-optimized K3OsS structure. Values from VASP.

Results
**ΔE_f (raw)**: 0.661 eV/atom
**DFT total energy**: -3.068 eV per atom
**Symmetry**: No. 221
**Distance to the lowest polymorph of the same formula**: 0 meV/atom
**N(E_F)**: 5.65 states/eV per cell

Geometry as Quantum ESPRESSO input:
```
&SYSTEM
  ibrav = 0, nat = 5, ntyp = 3
/
ATOMIC_SPECIES
S 32.06 S.upf
Os 190.23 Os.upf
K 39.10 K.upf
ATOMIC_POSITIONS crystal
S 0.000 0.000 0.000
Os 0.500 0.500 0.500
K 0.000 0.500 0.000
K 0.000 0.000 0.500
K 0.500 0.000 0.000
CELL_PARAMETERS angstrom
6.031 0.000 0.000
0.000 6.031 0.000
0.000 0.000 6.031
```



# 2
The following is a DFT calculation (GGA-PBE) of a geometry-optimized Nd6Y2Er5 structure. Values from VASP.

Results
**DFT total energy**: -4.849 eV per atom
**Symmetry**: No. 55
**N(E_F)**: 31.65 states/eV per cell
**Energy of formation**: 9.8 kJ/mol of atoms

Geometry as Quantum ESPRESSO input:
```
&SYSTEM
  ibrav = 0, nat = 26, ntyp = 3
/
ATOMIC_SPECIES
Er 167.26 Er.upf
Nd 144.24 Nd.upf
Y 88.91 Y.upf
ATOMIC_POSITIONS crystal
Er 0.500 0.595 0.275
Er 0.500 0.095 0.225
Er 0.500 0.000 0.500
Er 0.500 0.199 0.945
Er 0.500 0.905 0.775
Er 0.500 0.699 0.555
Er 0.500 0.405 0.725
Er 0.500 0.500 0.000
Er 0.500 0.301 0.445
Er 0.500 0.801 0.055
Nd 0.500 0.173 0.632
Nd 0.500 0.673 0.868
Nd 0.000 0.083 0.366
Nd 0.000 0.917 0.634
Nd 0.000 0.583 0.134
Nd 0.500 0.827 0.368
Nd 0.500 0.327 0.132
Nd 0.000 0.059 0.080
Nd 0.000 0.559 0.420
Nd 0.000 0.417 0.866
Nd 0.000 0.441 0.580
Nd 0.000 0.941 0.920
Y 0.000 0.164 0.789
Y 0.000 0.836 0.211
Y 0.000 0.336 0.289
Y 0.000 0.664 0.711
CELL_PARAMETERS angstrom
3.624 0.000 0.000
0.000 11.737 0.000
0.000 0.000 20.534
```



# 3
The following is a DFT calculation (GGA-PBE) of a geometry-optimized MgCo2Mo structure. Values from VASP.

Results
**DFT total energy**: -6.407 eV per atom
**Symmetry**: No. 119
**N(E_F)**: 3.46 states/eV per cell
**Energy of formation**: 24.3 kJ/mol of atoms

Geometry as Quantum ESPRESSO input:
```
&SYSTEM
  ibrav = 0, nat = 4, ntyp = 3
/
ATOMIC_SPECIES
Co 58.93 Co.upf
Mg 24.30 Mg.upf
Mo 95.94 Mo.upf
ATOMIC_POSITIONS crystal
Co 0.000 0.000 0.000
Co 0.250 0.750 0.500
Mg 0.500 0.500 0.000
Mo 0.750 0.250 0.500
CELL_PARAMETERS angstrom
-3.370 -2.460 -2.413
1.145 -1.419 -4.461
2.033 -0.230 4.364
```